12
Lattice="-1.8183 1.8183 10.7872 1.8183 -1.8183 10.7872 1.8183 1.8183 -10.7872" Properties=species:S:1:pos:R:3 comment="Al3Ni5B2Pd2, relaxed, DFT GGA-PBE" energy_ev_per_atom=-5.747 delta_e_f_ev_per_atom=-0.424 space_group="I4/mmm (139)" pbc="T T T"
Al 0.0000 0.0000 0.0000
Al 0.0000 0.0000 3.6311
Al 0.0000 0.0000 17.9433
Ni 1.8183 0.0000 1.7844
Ni 1.8183 0.0000 9.0028
Ni 0.0000 0.0000 10.7872
Ni 0.0000 1.8183 1.7844
Ni 0.0000 1.8183 9.0028
B 0.0000 0.0000 8.3399
B 0.0000 0.0000 13.2345
Pd 0.0000 0.0000 6.1867
Pd 0.0000 0.0000 15.3878


12
Lattice="-1.7183 1.7183 11.8716 1.7183 -1.7183 11.8716 1.7183 1.7183 -11.8716" Properties=species:S:1:pos:R:3 comment="Al3Ni5B2Pt2, relaxed, DFT GGA-PBE" energy_ev_per_atom=-5.943 delta_e_f_ev_per_atom=-0.478 space_group="I4/mmm (139)" pbc="T T T"
Al 0.0000 0.0000 0.0000
Al 0.0000 0.0000 3.9192
Al 0.0000 0.0000 19.8241
Ni 1.7183 0.0000 1.9248
Ni 1.7183 0.0000 9.9468
Ni 0.0000 0.0000 11.8716
Ni 0.0000 1.7183 1.9248
Ni 0.0000 1.7183 9.9468
B 0.0000 0.0000 8.8715
B 0.0000 0.0000 14.8718
Pt 0.0000 0.0000 6.7733
Pt 0.0000 0.0000 16.9699


5
Lattice="4.0708 0.0000 0.0000 0.0000 4.0708 0.0000 0.0000 0.0000 3.8018" Properties=species:S:1:pos:R:3 comment="AlNiBRh2, relaxed, DFT GGA-PBE" energy_ev_per_atom=-6.673 delta_e_f_ev_per_atom=-0.492 space_group="P4/mmm (123)" pbc="T T T"
Al 0.0000 0.0000 0.0000
Ni 2.0354 2.0354 0.0000
B 2.0354 2.0354 1.9009
Rh 0.0000 2.0354 1.9009
Rh 2.0354 0.0000 1.9009


5
Lattice="3.8285 0.0000 0.0000 0.0000 3.8285 0.0000 0.0000 0.0000 4.0454" Properties=species:S:1:pos:R:3 comment="AlNi2BRh, relaxed, DFT GGA-PBE" energy_ev_per_atom=-6.267 delta_e_f_ev_per_atom=-0.401 space_group="P4/mmm (123)" pbc="T T T"
Al 0.0000 0.0000 0.0000
Ni 0.0000 1.9143 2.0227
Ni 1.9143 0.0000 2.0227
B 1.9143 1.9143 2.0227
Rh 1.9143 1.9143 0.0000


20
Lattice="8.8002 0.0000 0.0000 0.0000 8.8002 0.0000 0.0000 0.0000 3.0422" Properties=species:S:1:pos:R:3 comment="Sc2AlNi5B2, relaxed, DFT GGA-PBE" energy_ev_per_atom=-6.419 delta_e_f_ev_per_atom=-0.552 space_group="P4/mbm (127)" pbc="T T T"
Sc 1.5714 2.8287 0.0000
Sc 2.8287 7.2288 0.0000
Sc 5.9715 1.5714 0.0000
Sc 7.2288 5.9715 0.0000
Al 0.0000 0.0000 0.0000
Al 4.4001 4.4001 0.0000
Ni 0.0000 4.4001 1.5211
Ni 0.5898 6.8205 1.5211
Ni 1.9797 0.5898 1.5211
Ni 2.4204 4.9899 1.5211
Ni 3.8103 2.4204 1.5211
Ni 4.4001 0.0000 1.5211
Ni 4.9899 6.3798 1.5211
Ni 6.3798 3.8103 1.5211
Ni 6.8205 8.2105 1.5211
Ni 8.2105 1.9797 1.5211
B 1.0282 5.4283 0.0000
B 3.3719 1.0282 0.0000
B 5.4283 7.7720 0.0000
B 7.7720 3.3719 0.0000


5
Lattice="4.6955 0.0000 0.0000 0.0000 4.6955 0.0000 0.0000 0.0000 4.1869" Properties=species:S:1:pos:R:3 comment="Al2SiNiB, relaxed, DFT GGA-PBE" energy_ev_per_atom=-3.829 raw_formation_energy_ev_per_fu=6.22 space_group="P4/mmm (123)" pbc="T T T"
Al 0.0000 2.3477 0.0000
Al 2.3477 0.0000 0.0000
Si 0.0000 0.0000 0.0000
Ni 0.0000 0.0000 2.0935
B 2.3477 2.3477 2.0935


15
Lattice="5.4492 0.0000 0.0000 -2.7246 4.7191 0.0000 0.0000 0.0000 8.4750" Properties=species:S:1:pos:R:3 comment="Sm3AlNi9B2, relaxed, DFT GGA-PBE" energy_ev_per_atom=-5.929 delta_e_f_ev_per_atom=-0.376 space_group="P-3m1 (164)" pbc="T T T"
Sm 0.0000 0.0000 0.0000
Sm 0.0000 3.1461 5.3889
Sm 2.7246 1.5730 3.0861
Al 0.0000 0.0000 4.2375
Ni -1.3623 2.3596 0.0000
Ni 0.0000 1.5724 2.3682
Ni -1.3629 3.9329 2.3682
Ni 1.3617 0.7862 6.1067
Ni 2.7246 0.0000 0.0000
Ni 1.3623 2.3596 0.0000
Ni 1.3629 3.9329 2.3682
Ni 4.0875 0.7862 6.1067
Ni 2.7246 3.1468 6.1067
B 0.0000 3.1461 1.2174
B 2.7246 1.5730 7.2576


18
Lattice="3.5530 2.0513 5.3410 -3.5530 2.0513 5.3410 0.0000 -4.1026 5.3410" Properties=species:S:1:pos:R:3 comment="Tb2AlNi12B3, relaxed, DFT GGA-PBE" energy_ev_per_atom=-5.822 delta_e_f_ev_per_atom=-0.132 space_group="R-3m (166)" pbc="T T T"
Tb 0.0000 0.0000 1.5277
Tb 0.0000 0.0000 14.4952
Al 0.0000 0.0000 8.0115
Ni -1.9871 -1.1472 7.2597
Ni 0.0000 -1.6182 5.7452
Ni -1.4014 0.8091 5.7452
Ni 0.0000 -2.2945 8.7633
Ni -1.9871 1.1472 8.7633
Ni -1.4014 -0.8091 10.2777
Ni 1.4014 0.8091 5.7453
Ni 1.9871 -1.1472 7.2597
Ni 0.0000 2.2945 7.2597
Ni 1.4014 -0.8091 10.2777
Ni 0.0000 1.6182 10.2777
Ni 1.9871 1.1472 8.7633
B -1.7765 -1.0257 5.3410
B -1.7765 1.0257 10.6820
B 0.0000 2.0513 5.3410


5
Lattice="4.4341 0.0000 0.0000 0.0000 4.4341 0.0000 0.0000 0.0000 4.7400" Properties=species:S:1:pos:R:3 comment="AlNiB2Te, relaxed, DFT GGA-PBE" energy_ev_per_atom=-3.425 raw_formation_energy_ev_per_fu=8.89 space_group="P4/mmm (123)" pbc="T T T"
Al 0.0000 0.0000 0.0000
Ni 2.2170 2.2170 0.0000
B 0.0000 2.2170 2.3700
B 2.2170 0.0000 2.3700
Te 2.2170 2.2170 2.3700


20
Lattice="8.7411 0.0000 0.0000 0.0000 8.7411 0.0000 0.0000 0.0000 2.8162" Properties=species:S:1:pos:R:3 comment="AlZn2Ni5B2, relaxed, DFT GGA-PBE" energy_ev_per_atom=-5.143 delta_e_f_ev_per_atom=-0.288 space_group="P4/mbm (127)" pbc="T T T"
Al 0.0000 0.0000 0.0000
Al 4.3706 4.3706 0.0000
Zn 1.5690 2.8015 0.0000
Zn 2.8015 7.1721 0.0000
Zn 5.9396 1.5690 0.0000
Zn 7.1721 5.9396 0.0000
Ni 0.0000 4.3706 1.4081
Ni 0.5779 6.8009 1.4081
Ni 1.9403 0.5779 1.4081
Ni 2.4303 4.9484 1.4081
Ni 3.7927 2.4303 1.4081
Ni 4.3706 0.0000 1.4081
Ni 4.9484 6.3108 1.4081
Ni 6.3108 3.7927 1.4081
Ni 6.8009 8.1632 1.4081
Ni 8.1632 1.9403 1.4081
B 1.0701 5.4406 0.0000
B 3.3005 1.0701 0.0000
B 5.4406 7.6710 0.0000
B 7.6710 3.3005 0.0000


20
Lattice="8.5846 0.0000 0.0000 0.0000 8.5846 0.0000 0.0000 0.0000 2.8875" Properties=species:S:1:pos:R:3 comment="Al2ZnNi5B2, relaxed, DFT GGA-PBE" energy_ev_per_atom=-5.479 delta_e_f_ev_per_atom=-0.377 space_group="P4/mbm (127)" pbc="T T T"
Al 1.5143 2.7781 0.0000
Al 2.7781 7.0704 0.0000
Al 5.8066 1.5143 0.0000
Al 7.0704 5.8066 0.0000
Zn 0.0000 0.0000 0.0000
Zn 4.2923 4.2923 0.0000
Ni 0.0000 4.2923 1.4438
Ni 0.6048 6.6984 1.4438
Ni 1.8863 0.6048 1.4438
Ni 2.4060 4.8971 1.4438
Ni 3.6875 2.4060 1.4438
Ni 4.2923 0.0000 1.4438
Ni 4.8971 6.1786 1.4438
Ni 6.1786 3.6875 1.4438
Ni 6.6984 7.9798 1.4438
Ni 7.9798 1.8863 1.4438
B 1.0651 5.3574 0.0000
B 3.2272 1.0651 0.0000
B 5.3574 7.5195 0.0000
B 7.5195 3.2272 0.0000


24
Lattice="5.9247 0.0000 0.0000 0.0000 11.4826 0.0000 0.0000 0.0000 3.5724" Properties=species:S:1:pos:R:3 comment="NpAlB4, relaxed, DFT GGA-PBE" energy_ev_per_atom=-7.579 delta_e_f_ev_per_atom=-0.347 space_group="Pbam (55)" pbc="T T T"
Np 0.7643 1.7267 0.0000
Np 2.1980 7.4681 0.0000
Np 3.7267 4.0146 0.0000
Np 5.1603 9.7559 0.0000
Al 0.8191 4.7035 0.0000
Al 2.1433 10.4448 0.0000
Al 3.7814 1.0378 0.0000
Al 5.1056 6.7791 0.0000
B 0.1646 7.9578 1.7862
B 0.6783 6.2789 1.7862
B 0.7834 11.1204 1.7862
B 1.2469 9.3185 1.7862
B 1.7155 3.5772 1.7862
B 2.1789 5.3791 1.7862
B 2.2840 0.5376 1.7862
B 2.7977 2.2164 1.7862
B 3.1269 9.2662 1.7862
B 3.6406 10.9450 1.7862
B 3.7458 6.1035 1.7862
B 4.2092 7.9055 1.7862
B 4.6778 2.1642 1.7862
B 5.1412 0.3622 1.7862
B 5.2464 5.2037 1.7862
B 5.7601 3.5249 1.7862